<A>
# PBE SrB2, optimized geometry
# M_tot: 0.0 μB/cell
data_SrB2
_cell_length_a 4.492
_cell_length_b 5.195
_cell_length_c 5.625
_cell_angle_alpha 108.90
_cell_angle_beta 90.18
_cell_angle_gamma 115.05
_space_group_name_H-M_alt 'P -1'
_space_group_IT_number 2
loop_
_space_group_symop_operation_xyz
'x,y,z'
'-x,-y,-z'
loop_
_atom_site_label
_atom_site_type_symbol
_atom_site_fract_x
_atom_site_fract_y
_atom_site_fract_z
_atom_site_occupancy
Sr1 Sr 0.200 0.392 0.215 1
B1 B 0.080 0.162 0.634 1
B2 B 0.318 0.000 0.501 1

***

<B>
# PBE SrB2, optimized geometry
# M_tot: 0.0 μB/cell
data_SrB2
_cell_length_a 3.171
_cell_length_b 4.015
_cell_length_c 4.266
_cell_angle_alpha 86.68
_cell_angle_beta 68.29
_cell_angle_gamma 81.04
_space_group_name_H-M_alt 'P -1'
_space_group_IT_number 2
loop_
_space_group_symop_operation_xyz
'x,y,z'
'-x,-y,-z'
loop_
_atom_site_label
_atom_site_type_symbol
_atom_site_fract_x
_atom_site_fract_y
_atom_site_fract_z
_atom_site_occupancy
Sr1 Sr 0.000 0.000 0.000 1
B1 B 0.261 0.500 0.477 1

***

Stability comparison, relative energies in meV per atom: <A> 0; <B> 7

***

<A>
# PBE SrB2, optimized geometry
# M_tot: 0.0 μB/cell
data_SrB2
_cell_length_a 4.486
_cell_length_b 4.872
_cell_length_c 5.491
_cell_angle_alpha 66.12
_cell_angle_beta 66.10
_cell_angle_gamma 89.90
_space_group_name_H-M_alt 'P -1'
_space_group_IT_number 2
loop_
_space_group_symop_operation_xyz
'x,y,z'
'-x,-y,-z'
loop_
_atom_site_label
_atom_site_type_symbol
_atom_site_fract_x
_atom_site_fract_y
_atom_site_fract_z
_atom_site_occupancy
Sr1 Sr 0.174 0.180 0.152 1
B1 B 0.182 0.500 0.500 1
B2 B 0.470 0.641 0.560 1

***

<B>
# PBE SrB2, optimized geometry
# M_tot: 0.0 μB/cell
data_SrB2
_cell_length_a 3.3130
_cell_length_b 3.3130
_cell_length_c 4.4311
_cell_angle_alpha 90.00
_cell_angle_beta 90.00
_cell_angle_gamma 120.00
_space_group_name_H-M_alt 'P 6/m m m'
_space_group_IT_number 191
_space_group_name_Hall '-P 6 2'
loop_
_atom_site_label
_atom_site_type_symbol
_atom_site_fract_x
_atom_site_fract_y
_atom_site_fract_z
_atom_site_occupancy
Sr1 Sr 0.0000 0.0000 0.0000 1
B1 B 0.3333 0.6667 0.5000 1

***

Stability comparison, relative energies in meV per atom: <A> 0; <B> 261

***

<A>
# PBE SrB2, optimized geometry
# M_tot: 0.0 μB/cell
data_SrB2
_cell_length_a 4.271
_cell_length_b 12.271
_cell_length_c 4.121
_cell_angle_alpha 90.00
_cell_angle_beta 90.00
_cell_angle_gamma 90.00
_space_group_name_H-M_alt 'C m c m'
_space_group_IT_number 63
_space_group_name_Hall '-C 2c 2'
loop_
_atom_site_label
_atom_site_type_symbol
_atom_site_fract_x
_atom_site_fract_y
_atom_site_fract_z
_atom_site_occupancy
Sr1 Sr 0.000 0.142 0.250 1
B1 B 0.000 0.399 0.250 1
B2 B 0.000 0.500 0.000 1

***

<B>
# PBE SrB2, optimized geometry
# M_tot: 0.0 μB/cell
data_SrB2
_cell_length_a 10.892
_cell_length_b 4.417
_cell_length_c 5.563
_cell_angle_alpha 90.00
_cell_angle_beta 93.32
_cell_angle_gamma 90.00
_space_group_name_H-M_alt 'C 1 m 1'
_space_group_IT_number 8
loop_
_space_group_symop_operation_xyz
'x,y,z'
'x,-y,z'
'x+1/2,y+1/2,z'
'x+1/2,-y+1/2,z'
loop_
_atom_site_label
_atom_site_type_symbol
_atom_site_fract_x
_atom_site_fract_y
_atom_site_fract_z
_atom_site_occupancy
Sr1 Sr 0.000 0.000 0.000 1
Sr2 Sr 0.227 0.500 0.539 1
B1 B 0.430 0.000 0.620 1
B2 B 0.473 0.318 0.489 1
B3 B 0.489 0.000 0.343 1

***

Stability comparison, relative energies in meV per atom: <A> 0; <B> 13

***

<A>
# PBE Sr3TaB, optimized geometry
# M_tot: 3.8 μB/cell
data_Sr3TaB
_cell_length_a 5.599
_cell_length_b 5.599
_cell_length_c 5.599
_cell_angle_alpha 90.00
_cell_angle_beta 90.00
_cell_angle_gamma 90.00
_space_group_name_H-M_alt 'P m -3 m'
_space_group_IT_number 221
_space_group_name_Hall '-P 4 2 3'
loop_
_atom_site_label
_atom_site_type_symbol
_atom_site_fract_x
_atom_site_fract_y
_atom_site_fract_z
_atom_site_occupancy
Sr1 Sr 0.000 0.000 0.500 1
Ta1 Ta 0.500 0.500 0.500 1
B1 B 0.000 0.000 0.000 1

***

<B>
# PBE Sr3TaB, optimized geometry
# M_tot: 0.0 μB/cell
data_Sr3TaB
_cell_length_a 5.863
_cell_length_b 5.863
_cell_length_c 5.863
_cell_angle_alpha 90.00
_cell_angle_beta 90.00
_cell_angle_gamma 90.00
_space_group_name_H-M_alt 'P m -3 m'
_space_group_IT_number 221
_space_group_name_Hall '-P 4 2 3'
loop_
_atom_site_label
_atom_site_type_symbol
_atom_site_fract_x
_atom_site_fract_y
_atom_site_fract_z
_atom_site_occupancy
Sr1 Sr 0.000 0.000 0.500 1
Ta1 Ta 0.000 0.000 0.000 1
B1 B 0.500 0.500 0.500 1

***

Stability comparison, relative energies in meV per atom: <A> 0; <B> 712

***

<A>
# PBE SrTa3B, optimized geometry
# M_tot: 0.0 μB/cell
data_SrTa3B
_cell_length_a 4.828
_cell_length_b 4.828
_cell_length_c 4.828
_cell_angle_alpha 90.00
_cell_angle_beta 90.00
_cell_angle_gamma 90.00
_space_group_name_H-M_alt 'P m -3 m'
_space_group_IT_number 221
_space_group_name_Hall '-P 4 2 3'
loop_
_atom_site_label
_atom_site_type_symbol
_atom_site_fract_x
_atom_site_fract_y
_atom_site_fract_z
_atom_site_occupancy
Sr1 Sr 0.000 0.000 0.000 1
Ta1 Ta 0.000 0.000 0.500 1
B1 B 0.500 0.500 0.500 1

***

<B>
# PBE SrTa3B, optimized geometry
# M_tot: 0.0 μB/cell
data_SrTa3B
_cell_length_a 4.601
_cell_length_b 4.601
_cell_length_c 4.601
_cell_angle_alpha 90.00
_cell_angle_beta 90.00
_cell_angle_gamma 90.00
_space_group_name_H-M_alt 'P m -3 m'
_space_group_IT_number 221
_space_group_name_Hall '-P 4 2 3'
loop_
_atom_site_label
_atom_site_type_symbol
_atom_site_fract_x
_atom_site_fract_y
_atom_site_fract_z
_atom_site_occupancy
Sr1 Sr 0.000 0.000 0.000 1
Ta1 Ta 0.000 0.500 0.500 1
B1 B 0.500 0.500 0.500 1

***

Stability comparison, relative energies in meV per atom: <A> 3141; <B> 0

***

<A>
# PBE Sr2Tc2B, optimized geometry
# M_tot: 0.0 μB/cell
data_Sr2Tc2B
_cell_length_a 8.931
_cell_length_b 8.931
_cell_length_c 3.254
_cell_angle_alpha 90.00
_cell_angle_beta 90.00
_cell_angle_gamma 90.00
_space_group_name_H-M_alt 'P 4/m b m'
_space_group_IT_number 127
_space_group_name_Hall '-P 4 2ab'
loop_
_atom_site_label
_atom_site_type_symbol
_atom_site_fract_x
_atom_site_fract_y
_atom_site_fract_z
_atom_site_occupancy
Sr1 Sr 0.200 0.300 0.000 1
Tc1 Tc 0.084 0.584 0.500 1
B1 B 0.000 0.000 0.000 1

***

<B>
# PBE Sr2Tc2B, optimized geometry
# M_tot: 0.0 μB/cell
data_Sr2Tc2B
_cell_length_a 3.480
_cell_length_b 3.480
_cell_length_c 19.139
_cell_angle_alpha 90.00
_cell_angle_beta 90.00
_cell_angle_gamma 90.00
_space_group_name_H-M_alt 'I 4/m m m'
_space_group_IT_number 139
_space_group_name_Hall '-I 4 2'
loop_
_atom_site_label
_atom_site_type_symbol
_atom_site_fract_x
_atom_site_fract_y
_atom_site_fract_z
_atom_site_occupancy
Sr1 Sr 0.000 0.000 0.092 1
Tc1 Tc 0.000 0.500 0.250 1
B1 B 0.000 0.000 0.500 1

***

Stability comparison, relative energies in meV per atom: <A> 757; <B> 0

***

<A>
# PBE SrTiB, optimized geometry
# M_tot: 0.6 μB/cell
data_SrTiB
_cell_length_a 3.290
_cell_length_b 3.290
_cell_length_c 5.658
_cell_angle_alpha 90.00
_cell_angle_beta 90.00
_cell_angle_gamma 90.00
_space_group_name_H-M_alt 'P 4/m m m'
_space_group_IT_number 123
_space_group_name_Hall '-P 4 2'
loop_
_atom_site_label
_atom_site_type_symbol
_atom_site_fract_x
_atom_site_fract_y
_atom_site_fract_z
_atom_site_occupancy
Sr1 Sr 0.000 0.000 0.000 1
Ti1 Ti 0.500 0.500 0.500 1
B1 B 0.000 0.000 0.500 1

***

<B>
# PBE SrTiB, optimized geometry
# M_tot: 0.4 μB/cell
data_SrTiB
_cell_length_a 3.118
_cell_length_b 3.416
_cell_length_c 11.743
_cell_angle_alpha 98.29
_cell_angle_beta 97.14
_cell_angle_gamma 90.01
_space_group_name_H-M_alt 'P -1'
_space_group_IT_number 2
loop_
_space_group_symop_operation_xyz
'x,y,z'
'-x,-y,-z'
loop_
_atom_site_label
_atom_site_type_symbol
_atom_site_fract_x
_atom_site_fract_y
_atom_site_fract_z
_atom_site_occupancy
Sr1 Sr 0.086 0.331 0.158 1
Ti1 Ti 0.297 0.050 0.601 1
B1 B 0.232 0.481 0.462 1

***

Stability comparison, relative energies in meV per atom: <A> 353; <B> 0

***

<A>
# PBE SrTiB, optimized geometry
# M_tot: 1.4 μB/cell
data_SrTiB
_cell_length_a 4.059
_cell_length_b 4.333
_cell_length_c 8.538
_cell_angle_alpha 85.47
_cell_angle_beta 87.02
_cell_angle_gamma 79.29
_space_group_name_H-M_alt 'P -1'
_space_group_IT_number 2
loop_
_space_group_symop_operation_xyz
'x,y,z'
'-x,-y,-z'
loop_
_atom_site_label
_atom_site_type_symbol
_atom_site_fract_x
_atom_site_fract_y
_atom_site_fract_z
_atom_site_occupancy
Sr1 Sr 0.242 0.226 0.189 1
Ti1 Ti 0.296 0.311 0.572 1
B1 B 0.149 0.841 0.518 1

***

<B>
# PBE SrTiB, optimized geometry
# M_tot: 1.2 μB/cell
data_SrTiB
_cell_length_a 8.023
_cell_length_b 3.568
_cell_length_c 9.688
_cell_angle_alpha 90.00
_cell_angle_beta 90.07
_cell_angle_gamma 90.00
_space_group_name_H-M_alt 'C 1 2/m 1'
_space_group_IT_number 12
loop_
_space_group_symop_operation_xyz
'x,y,z'
'-x,-y,-z'
'-x,y,-z'
'x,-y,z'
'x+1/2,y+1/2,z'
'-x+1/2,-y+1/2,-z'
'-x+1/2,y+1/2,-z'
'x+1/2,-y+1/2,z'
loop_
_atom_site_label
_atom_site_type_symbol
_atom_site_fract_x
_atom_site_fract_y
_atom_site_fract_z
_atom_site_occupancy
Sr1 Sr 0.138 0.000 0.182 1
Ti1 Ti 0.140 0.000 0.574 1
B1 B 0.074 0.500 0.439 1

***

Stability comparison, relative energies in meV per atom: <A> 34; <B> 0

***

<A>
# PBE SrTl2B, optimized geometry
# M_tot: 0.0 μB/cell
data_SrTl2B
_cell_length_a 7.452
_cell_length_b 7.452
_cell_length_c 7.452
_cell_angle_alpha 90.00
_cell_angle_beta 90.00
_cell_angle_gamma 90.00
_space_group_name_H-M_alt 'F m -3 m'
_space_group_IT_number 225
_space_group_name_Hall '-F 4 2 3'
loop_
_atom_site_label
_atom_site_type_symbol
_atom_site_fract_x
_atom_site_fract_y
_atom_site_fract_z
_atom_site_occupancy
Sr1 Sr 0.000 0.000 0.000 1
Tl1 Tl 0.250 0.250 0.250 1
B1 B 0.000 0.000 0.500 1

***

<B>
# PBE SrTl2B, optimized geometry
# M_tot: 0.0 μB/cell
data_SrTl2B
_cell_length_a 10.153
_cell_length_b 5.454
_cell_length_c 8.205
_cell_angle_alpha 90.00
_cell_angle_beta 96.05
_cell_angle_gamma 90.00
_space_group_name_H-M_alt 'C 1 m 1'
_space_group_IT_number 8
loop_
_space_group_symop_operation_xyz
'x,y,z'
'x,-y,z'
'x+1/2,y+1/2,z'
'x+1/2,-y+1/2,z'
loop_
_atom_site_label
_atom_site_type_symbol
_atom_site_fract_x
_atom_site_fract_y
_atom_site_fract_z
_atom_site_occupancy
Sr1 Sr 0.000 0.000 0.000 1
Sr2 Sr 0.171 0.500 0.354 1
Tl1 Tl 0.044 0.000 0.604 1
Tl2 Tl 0.164 0.500 0.815 1
Tl3 Tl 0.344 0.000 0.176 1
Tl4 Tl 0.363 0.000 0.594 1
B1 B 0.448 0.357 0.317 1

***

<C>
# PBE SrTl2B, optimized geometry
# M_tot: 0.0 μB/cell
data_SrTl2B
_cell_length_a 4.1717
_cell_length_b 4.1717
_cell_length_c 21.0582
_cell_angle_alpha 90.00
_cell_angle_beta 90.00
_cell_angle_gamma 120.00
_space_group_name_H-M_alt 'R 3 m'
_space_group_IT_number 160
_space_group_name_Hall 'R 3 -2"'
loop_
_atom_site_label
_atom_site_type_symbol
_atom_site_fract_x
_atom_site_fract_y
_atom_site_fract_z
_atom_site_occupancy
Sr1 Sr 0.0000 0.0000 0.0000 1
Tl1 Tl 0.0000 0.0000 0.2238 1
Tl2 Tl 0.0000 0.0000 0.7936 1
B1 B 0.0000 0.0000 0.5885 1

***

Stability comparison, relative energies in meV per atom: <A> 605; <B> 0; <C> 242

***

<A>
# PBE SrTlB2, optimized geometry
# M_tot: 0.0 μB/cell
data_SrTlB2
_cell_length_a 4.564
_cell_length_b 4.564
_cell_length_c 16.004
_cell_angle_alpha 90.00
_cell_angle_beta 90.00
_cell_angle_gamma 90.00
_space_group_name_H-M_alt 'I 41/a m d'
_space_group_IT_number 141
loop_
_space_group_symop_operation_xyz
'x,y,z'
'-x,-y,-z'
'-y+1/4,x+3/4,z+1/4'
'y+1/4,-x+3/4,-z+1/4'
'-x+1/2,-y,z+1/2'
'x+1/2,y,-z+1/2'
'y+1/4,-x+1/4,z+3/4'
'-y+1/4,x+1/4,-z+3/4'
'x,-y,-z'
'-x,y,z'
'-y+1/4,-x+1/4,-z+3/4'
'y+1/4,x+1/4,z+3/4'
'-x+1/2,y,-z+1/2'
'x+1/2,-y,z+1/2'
'y+1/4,x+3/4,-z+1/4'
'-y+1/4,-x+3/4,z+1/4'
'x+1/2,y+1/2,z+1/2'
'-x+1/2,-y+1/2,-z+1/2'
'-y+3/4,x+1/4,z+3/4'
'y+3/4,-x+1/4,-z+3/4'
'-x,-y+1/2,z'
'x,y+1/2,-z'
'y+3/4,-x+3/4,z+1/4'
'-y+3/4,x+3/4,-z+1/4'
'x+1/2,-y+1/2,-z+1/2'
'-x+1/2,y+1/2,z+1/2'
'-y+3/4,-x+3/4,-z+1/4'
'y+3/4,x+3/4,z+1/4'
'-x,y+1/2,-z'
'x,-y+1/2,z'
'y+3/4,x+1/4,-z+3/4'
'-y+3/4,-x+1/4,z+3/4'
loop_
_atom_site_label
_atom_site_type_symbol
_atom_site_fract_x
_atom_site_fract_y
_atom_site_fract_z
_atom_site_occupancy
Sr1 Sr 0.000 0.250 0.375 1
Tl1 Tl 0.000 0.250 0.875 1
B1 B 0.000 0.000 0.000 1

***

<B>
# PBE SrTlB2, optimized geometry
# M_tot: 0.0 μB/cell
data_SrTlB2
_cell_length_a 6.694
_cell_length_b 6.694
_cell_length_c 6.694
_cell_angle_alpha 90.00
_cell_angle_beta 90.00
_cell_angle_gamma 90.00
_space_group_name_H-M_alt 'F m -3 m'
_space_group_IT_number 225
_space_group_name_Hall '-F 4 2 3'
loop_
_atom_site_label
_atom_site_type_symbol
_atom_site_fract_x
_atom_site_fract_y
_atom_site_fract_z
_atom_site_occupancy
Sr1 Sr 0.000 0.000 0.000 1
Tl1 Tl 0.000 0.000 0.500 1
B1 B 0.250 0.250 0.250 1

***

Stability comparison, relative energies in meV per atom: <A> 0; <B> 169

***

<A>
# PBE SrVB3, optimized geometry
# M_tot: 3.2 μB/cell
data_SrVB3
_cell_length_a 4.548
_cell_length_b 4.548
_cell_length_c 4.548
_cell_angle_alpha 90.00
_cell_angle_beta 90.00
_cell_angle_gamma 90.00
_space_group_name_H-M_alt 'P m -3 m'
_space_group_IT_number 221
_space_group_name_Hall '-P 4 2 3'
loop_
_atom_site_label
_atom_site_type_symbol
_atom_site_fract_x
_atom_site_fract_y
_atom_site_fract_z
_atom_site_occupancy
Sr1 Sr 0.000 0.000 0.000 1
V1 V 0.500 0.500 0.500 1
B1 B 0.000 0.000 0.500 1

***

<B>
# PBE SrVB3, optimized geometry
# M_tot: 0.0 μB/cell
data_SrVB3
_cell_length_a 4.161
_cell_length_b 4.161
_cell_length_c 4.161
_cell_angle_alpha 90.00
_cell_angle_beta 90.00
_cell_angle_gamma 90.00
_space_group_name_H-M_alt 'P m -3 m'
_space_group_IT_number 221
_space_group_name_Hall '-P 4 2 3'
loop_
_atom_site_label
_atom_site_type_symbol
_atom_site_fract_x
_atom_site_fract_y
_atom_site_fract_z
_atom_site_occupancy
Sr1 Sr 0.000 0.000 0.000 1
V1 V 0.500 0.500 0.500 1
B1 B 0.000 0.500 0.500 1

***

Stability comparison, relative energies in meV per atom: <A> 2517; <B> 0

***

<A>
# PBE Sr2V2B, optimized geometry
# M_tot: 0.0 μB/cell
data_Sr2V2B
_cell_length_a 3.357
_cell_length_b 3.357
_cell_length_c 19.939
_cell_angle_alpha 90.00
_cell_angle_beta 90.00
_cell_angle_gamma 90.00
_space_group_name_H-M_alt 'I 4/m m m'
_space_group_IT_number 139
_space_group_name_Hall '-I 4 2'
loop_
_atom_site_label
_atom_site_type_symbol
_atom_site_fract_x
_atom_site_fract_y
_atom_site_fract_z
_atom_site_occupancy
Sr1 Sr 0.000 0.000 0.088 1
V1 V 0.000 0.500 0.250 1
B1 B 0.000 0.000 0.500 1

***

<B>
# PBE Sr2V2B, optimized geometry
# M_tot: 1.7 μB/cell
data_Sr2V2B
_cell_length_a 8.823
_cell_length_b 8.823
_cell_length_c 3.696
_cell_angle_alpha 90.00
_cell_angle_beta 90.00
_cell_angle_gamma 90.00
_space_group_name_H-M_alt 'P 4/m b m'
_space_group_IT_number 127
_space_group_name_Hall '-P 4 2ab'
loop_
_atom_site_label
_atom_site_type_symbol
_atom_site_fract_x
_atom_site_fract_y
_atom_site_fract_z
_atom_site_occupancy
Sr1 Sr 0.210 0.290 0.000 1
V1 V 0.073 0.573 0.500 1
B1 B 0.000 0.000 0.000 1

***

Stability comparison, relative energies in meV per atom: <A> 0; <B> 601